Material: Pm7Tm3Mg
Method: DFT, PBE-GGA
State: relaxed

Geometry as POSCAR:
```
Pm7Tm3Mg
1.0
6.5418 0.0000 0.0000
-0.5329 6.5403 0.0000
-1.2852 -1.1850 8.4939
Pm Tm Mg
7 3 1
Direct
0.0000 0.0000 0.0000 Pm
0.2108 0.2215 0.7165 Pm
0.2604 0.5196 0.0974 Pm
0.3051 0.9675 0.3552 Pm
0.6949 0.0325 0.6448 Pm
0.7396 0.4804 0.9026 Pm
0.7892 0.7785 0.2835 Pm
0.0817 0.6964 0.6548 Tm
0.5000 0.5000 0.5000 Tm
0.9183 0.3036 0.3452 Tm
0.5000 0.0000 0.0000 Mg
```

Results
The energy of formation is 1.17 eV/f.u. As for the excess energy over the best structure of this formula in the dataset: 0.000 eV per atom. As for the space group: P-1 (2).